No. 1
Nd2HAu | PBE | relaxed

Values from the calculation:
- Uncorrected energy: -4.643 eV/atom
- Distance to the lowest polymorph of the same formula: 0.00 eV per formula unit
- Fermi-level density of states: 13.6 states/eV/cell
- Magnetic moment: 0.00 μB/cell

abc: 14.5296 3.9280 7.0964
angles: 90.00 112.00 90.00
Closest atoms and distances in Å follow each position.
Space group C2/m (No. 12)
Symmetry-distinct sites (fractional):
Nd 0.0202 0.0000 0.2723  2 H 2.31-2.36
Nd 0.2062 0.5000 0.7251  2 H 2.34
H 0.1143 0.0000 0.6167  4 Nd 2.31-2.36
Au 0.1191 0.5000 0.0714  7 Nd 3.08-3.19, 1 Au 3.22

No. 2
Tb3Ce2Os2 | PBE | relaxed

Values from the calculation:
- Uncorrected energy: -7.086 eV/atom
- Fermi-level density of states: 22.9 states/eV/cell
- Magnetic moment: 1.88 μB/cell
- Energy of formation: -0.20 eV/atom

abc: 11.9892 3.8525 8.7310
angles: 90.00 112.47 90.00
Closest atoms and distances in Å follow each position.
Space group C2/m (No. 12)
Symmetry-distinct sites (fractional):
Tb 0.0000 0.0000 0.0000  4 Os 3.06, 2 Tb 3.41
Tb 0.1207 0.0000 0.4222  3 Os 2.90-3.04
Ce 0.1694 0.5000 0.8122  2 Os 2.66
Os 0.1902 0.5000 0.2263  2 Ce 2.66, 2 Tb 2.90

No. 3
PmSm6Y2 | PBE | relaxed

Values from the calculation:
- Uncorrected energy: -4.977 eV/atom
- Distance to the lowest polymorph of the same formula: 0.00 eV per formula unit
- Fermi-level density of states: 51.7 states/eV/cell
- Magnetic moment: 0.00 μB/cell
- Energy of formation: 0.13 eV/atom

abc: 11.2367 21.2469 6.0064
angles: 90.00 121.59 90.00
Closest atoms and distances in Å follow each position.
Space group C2/c (No. 15)
Symmetry-distinct sites (fractional):
Pm 0.0000 0.0097 0.2500  2 Pm 3.03
Sm 0.0769 0.1482 0.5829  5 Sm 3.26-3.51, 1 Pm 3.40, 1 Y 3.57
Sm 0.1219 0.2783 0.1196  3 Sm 3.28-3.60, 1 Y 3.57
Sm 0.1246 0.4475 0.1230  3 Sm 3.26-3.60, 3 Y 3.50-3.56
Y 0.2059 0.3706 0.7023  10 Sm 3.50-3.70

No. 4
PrSm4Tm3 | PBE | relaxed

Values from the calculation:
- Uncorrected energy: -4.610 eV/atom
- Distance to the lowest polymorph of the same formula: 0.00 eV per formula unit
- Fermi-level density of states: 27.6 states/eV/cell
- Magnetic moment: 0.00 μB/cell
- Energy of formation: 0.02 eV/atom

abc: 11.4685 7.3093 6.3051
angles: 90.00 90.00 90.00
Closest atoms and distances in Å follow each position.
Space group Pmn2_1 (No. 31)
Symmetry-distinct sites (fractional):
Pr 0.0000 0.1252 0.0000  6 Tm 3.55-3.64, 6 Sm 3.59-3.68
Sm 0.0000 0.3726 0.5043  6 Sm 3.54-3.71, 4 Tm 3.57-3.69, 2 Pr 3.61-3.66
Sm 0.0000 0.6288 0.9964  6 Sm 3.54-3.71, 4 Tm 3.55-3.66, 2 Pr 3.63-3.68
Sm 0.2460 0.6258 0.3347  5 Tm 3.53-3.68, 6 Sm 3.54-3.65, 1 Pr 3.59
Tm 0.0000 0.8777 0.5006  6 Sm 3.53-3.69, 4 Tm 3.54-3.56, 2 Pr 3.63-3.64
Tm 0.2497 0.1222 0.3335  4 Tm 3.54-3.62, 6 Sm 3.55-3.68, 2 Pr 3.55

No. 5
BaTa2W | PBE | relaxed

Values from the calculation:
- Uncorrected energy: -8.298 eV/atom
- Distance to the lowest polymorph of the same formula: 3.00 eV per formula unit
- Fermi-level density of states: 9.9 states/eV/cell
- Magnetic moment: 0.00 μB/cell
- Energy of formation: 1.35 eV/atom

abc: 5.7579 10.2873 2.8663
angles: 90.00 90.00 90.00
Closest atoms and distances in Å follow each position.
Space group Cmmm (No. 65)
Symmetry-distinct sites (fractional):
Ba 0.0000 0.0000 0.0000  2 Ba 2.87, 2 W 2.88
Ta 0.2500 0.2500 0.5000  4 Ta 2.87-2.88
W 0.0000 0.5000 0.0000  2 W 2.87, 2 Ba 2.88

No. 6
Sm8TeC4 | PBE | relaxed

Values from the calculation:
- Uncorrected energy: -6.150 eV/atom
- Fermi-level density of states: 33.3 states/eV/cell
- Magnetic moment: 0.00 μB/cell
- Raw formation energy: -0.17 eV/atom

abc: 11.1603 11.1603 11.1603
angles: 90.00 90.00 90.00
Closest atoms and distances in Å follow each position.
Space group F-43m (No. 216)
Symmetry-distinct sites (fractional):
Sm 0.1023 0.1023 0.1023  3 C 2.61, 1 Te 2.85
Sm 0.1408 0.1408 0.6408  3 C 2.58
Te 0.2500 0.2500 0.2500  4 Sm 2.85
C 0.1284 0.1284 0.8716  6 Sm 2.58-2.61